[1]
# Li5InAg4

A relaxed structure of Li5InAg4 (PBE-GGA, Alexandria via LeMat-Bulk).

The structure belongs to space group P4/mmm (No. 123); the cell edges are 3.208, 3.208 and 16.095 Å and the angles 90.00°, 90.00° and 90.00°. The inequivalent atoms are Li at (0.000, 0.000, 0.000), Li at (0.000, 0.000, 0.195), Li at (0.000, 0.000, 0.388), In at (0.500, 0.500, 0.500), Ag at (0.500, 0.500, 0.097) and Ag at (0.500, 0.500, 0.292).

Its total magnetization is 0.00 μB/f.u. The energy is -26.02 eV for the cell shown. The value obtained for the formation energy is -0.23 eV/atom.

[2]
# SrIn2Ga6

A relaxed structure of SrIn2Ga6 (PBE-GGA, Alexandria via LeMat-Bulk).

The structure belongs to space group P4/mmm (No. 123); the cell edges are 4.830, 4.830 and 9.148 Å and the angles 90.00°, 90.00° and 90.00°. The inequivalent atoms are Sr at (0.000, 0.000, 0.000), In at (0.500, 0.500, 0.159), Ga at (0.000, 0.000, 0.500), Ga at (0.000, 0.500, 0.332) and Ga at (0.500, 0.500, 0.500).

Its total magnetization is 0.00 μB/f.u. The energy is -26.25 eV for the cell shown. The value obtained for the formation energy is -0.10 eV/atom. The energy above the most stable polymorph in this dataset is 0.011 eV/atom.

> Which of these has the highest energy?

Li5InAg4